Entry 1:
Density functional theory data (GGA-PBE) for Pr2EuGa after structural relaxation.

Cell lengths 3.762, 3.762, 9.133 Å; angles 90.00, 90.00, 90.00 degrees
Space group P4/mmm (No. 123)
One atom of each set of equivalent atoms:
Pr: 0.000 0.000 0.195 x2
Eu: 0.500 0.500 0.500 x1
Ga: 0.500 0.500 0.000 x1

Values from the calculation:
crystal system = tetragonal
formation energy from the elements = -0.227 eV per atom
offset from the most stable computed form = 0 meV per atom

Entry 2:
Density functional theory data (GGA-PBE) for La2Tb3Nd6 after structural relaxation.

Cell lengths 6.265, 10.870, 11.984 Å; angles 90.00, 100.22, 90.00 degrees
Space group C2/m (No. 12)
One atom of each set of equivalent atoms:
La: 0.000 0.167 0.000 x4
Tb: 0.000 0.000 0.500 x2
Tb: 0.000 0.335 0.500 x4
Nd: 0.249 0.166 0.746 x8
Nd: 0.249 0.500 0.746 x4

Values from the calculation:
crystal system = monoclinic
formation energy from the elements = 0.163 eV per atom
offset from the most stable computed form = 0 meV per atom

Entry 3:
Density functional theory data (GGA-PBE) for PuZrTe2 after structural relaxation.

Cell lengths 4.0174, 4.0174, 23.6340 Å; angles 90.00, 90.00, 120.00 degrees
Space group R3m (No. 160, hexagonal axes)
One atom of each set of equivalent atoms:
Pu: 0.0000 0.0000 0.0000 x3
Zr: 0.0000 0.0000 0.1698 x3
Te: 0.0000 0.0000 0.4247 x3
Te: 0.0000 0.0000 0.5790 x3

Values from the calculation:
raw formation energy = -0.872 eV per atom
crystal system = trigonal
offset from the most stable computed form = 0 meV per atom

Entry 4:
Density functional theory data (GGA-PBE) for ZrTiAg2Ir after structural relaxation.

Cell lengths 5.058, 5.058, 4.473 Å; angles 90.00, 90.00, 90.00 degrees
Space group P4/mmm (No. 123)
One atom of each set of equivalent atoms:
Zr: 0.000 0.000 0.000 x1
Ti: 0.500 0.500 0.000 x1
Ag: 0.000 0.500 0.500 x2
Ir: 0.500 0.500 0.500 x1

Values from the calculation:
crystal system = tetragonal
formation energy from the elements = 0.724 eV per atom

Entry 5:
Density functional theory data (GGA-PBE) for TaOsAu2 after structural relaxation.

Cell lengths 3.965, 3.965, 4.252 Å; angles 90.00, 90.00, 90.00 degrees
Space group P4/mmm (No. 123)
One atom of each set of equivalent atoms:
Ta: 0.000 0.000 0.000 x1
Os: 0.500 0.500 0.000 x1
Au: 0.000 0.500 0.500 x2

Values from the calculation:
crystal system = tetragonal
formation energy from the elements = 0.185 eV per atom
offset from the most stable computed form = 149 meV per atom

Entry 6:
Density functional theory data (GGA-PBE) for NaTa2N2 after structural relaxation.

Cell lengths 6.681, 6.681, 2.815 Å; angles 90.00, 90.00, 90.00 degrees
Space group P4/mbm (No. 127)
One atom of each set of equivalent atoms:
Na: 0.000 0.000 0.000 x2
Ta: 0.140 0.360 0.000 x4
N: 0.137 0.637 0.500 x4

Values from the calculation:
raw formation energy = 0.595 eV per atom
crystal system = tetragonal
offset from the most stable computed form = 968 meV per atom

Entry 7:
Density functional theory data (GGA-PBE) for Tb3Tm2Cu3 after structural relaxation.

Cell lengths 3.519, 5.107, 20.795 Å; angles 90.00, 90.00, 90.00 degrees
Space group Immm (No. 71)
One atom of each set of equivalent atoms:
Tb: 0.000 0.000 0.000 x2
Tb: 0.000 0.500 0.117 x4
Tm: 0.000 0.000 0.227 x4
Cu: 0.000 0.000 0.500 x2
Cu: 0.000 0.500 0.383 x4

Values from the calculation:
crystal system = orthorhombic
formation energy from the elements = -0.157 eV per atom

Entry 8:
Density functional theory data (GGA-PBE) for Pa3Ge5Te12 after structural relaxation.

Cell lengths 17.441, 17.441, 17.441 Å; angles 90.00, 90.00, 90.00 degrees
Space group Ia-3d (No. 230)
One atom of each set of equivalent atoms:
Pa: 0.000 0.250 0.125 x24
Ge: 0.000 0.000 0.000 x16
Ge: 0.000 0.250 0.375 x24
Te: 0.018 0.066 0.653 x96

Values from the calculation:
raw formation energy = -0.320 eV per atom
crystal system = cubic

Looking at ρ for the records above, in order, we have 6.47, 6.70, 8.90, 7.94, 19.01, 10.91, 8.93, 6.48 g cm⁻³.